1.
An optimized crystal structure of Ac6TbNd. Source: the Alexandria database, functional GGA-PBE.

a b c (Å): 9.878 7.778 10.145
angles (deg): 90.00 107.95 90.00
Atoms (fractional coordinates):
Ac: 0.140 0.000 0.430
Ac: 0.204 0.243 0.801
Ac: 0.204 0.757 0.801
Ac: 0.296 0.257 0.199
Ac: 0.296 0.743 0.199
Ac: 0.360 0.500 0.570
Ac: 0.640 0.500 0.430
Ac: 0.704 0.257 0.801
Ac: 0.704 0.743 0.801
Ac: 0.796 0.243 0.199
Ac: 0.796 0.757 0.199
Ac: 0.860 0.000 0.570
Tb: 0.000 0.500 0.500
Tb: 0.500 0.000 0.500
Nd: 0.000 0.000 0.000
Nd: 0.500 0.500 0.000

Summary:
Its space group is C2/m, No. 12. Its total DFT energy (no corrections) is -3.91 eV/atom. The value obtained for the formation enthalpy at 0 K is 350.3 meV/atom. The theoretical density comes out at 7.46 g/cm³. The energy relative to the lowest polymorph listed for this composition comes out at 0.323 eV/atom.

=====

2.
An optimized crystal structure of AgGe2Pd. Source: the Alexandria database, functional GGA-PBE.

a b c (Å): 6.513 6.513 6.513
angles (deg): 90.00 90.00 90.00
Atoms (fractional coordinates):
Ag: 0.000 0.000 0.000
Ag: 0.000 0.500 0.500
Ag: 0.500 0.000 0.500
Ag: 0.500 0.500 0.000
Ge: 0.250 0.250 0.250
Ge: 0.250 0.250 0.750
Ge: 0.250 0.750 0.250
Ge: 0.250 0.750 0.750
Ge: 0.750 0.250 0.250
Ge: 0.750 0.250 0.750
Ge: 0.750 0.750 0.250
Ge: 0.750 0.750 0.750
Pd: 0.000 0.000 0.500
Pd: 0.000 0.500 0.000
Pd: 0.500 0.000 0.000
Pd: 0.500 0.500 0.500

Summary:
Its space group is Fm-3m, No. 225. Its total DFT energy (no corrections) is -4.31 eV/atom. The value obtained for the formation enthalpy at 0 K is 5.2 meV/atom. The theoretical density comes out at 8.64 g/cm³. The energy relative to the lowest polymorph listed for this composition comes out at 0.061 eV/atom.

=====

3.
An optimized crystal structure of Ce2Hg3Au2. Source: the Alexandria database, functional GGA-PBE.

a b c (Å): 4.712 3.307 11.512
angles (deg): 90.00 101.82 90.00
Atoms (fractional coordinates):
Ce: 0.081 0.000 0.162
Ce: 0.919 0.000 0.838
Hg: 0.213 0.500 0.426
Hg: 0.500 0.500 0.000
Hg: 0.787 0.500 0.574
Au: 0.362 0.500 0.723
Au: 0.638 0.500 0.277

Summary:
Its space group is P2/m, No. 10. Its total DFT energy (no corrections) is -3.08 eV/atom. The value obtained for the formation enthalpy at 0 K is -318.5 meV/atom. The theoretical density comes out at 12.07 g/cm³.